Compound: NiSbTe2F
Source: Alexandria
Functional: PBE+U
Structure: optimized geometry

The value obtained for the total energy is -2.74 eV/atom. The calculation puts the density of states at the Fermi level at 3.6 states/eV/cell. The value obtained for the spin magnetization is 0.000 μB per formula unit.

It has space group P4/mmm (No. 123), with a = 4.9301 Å, b = 4.9301 Å, c = 4.9613 Å, α = 90.00°, β = 90.00° and γ = 90.00°. The inequivalent atoms are Ni at (0.0000, 0.0000, 0.0000), Sb at (0.0000, 0.0000, 0.5000), Te at (0.0000, 0.5000, 0.0000) and F at (0.5000, 0.5000, 0.5000).